# 1
This record from Alexandria via LeMat-Bulk describes crystalline CrCu2Os at its relaxed geometry. The functional is PBE. Values from VASP.

## Properties
SG: I-4m2 (119)
ΔE_f, kJ/mol of atoms: 24.6

Geometry as Quantum ESPRESSO input:
```
&SYSTEM
  ibrav = 0, nat = 8, ntyp = 3
/
ATOMIC_SPECIES
Cr 52.00 Cr.upf
Cu 63.55 Cu.upf
Os 190.23 Os.upf
ATOMIC_POSITIONS crystal
Cr 0.0000 0.0000 0.0000
Cr 0.5000 0.5000 0.5000
Cu 0.0000 0.0000 0.5000
Cu 0.0000 0.5000 0.2500
Cu 0.5000 0.0000 0.7500
Cu 0.5000 0.5000 0.0000
Os 0.0000 0.5000 0.7500
Os 0.5000 0.0000 0.2500
CELL_PARAMETERS angstrom
3.7478 0.0000 0.0000
0.0000 3.7478 0.0000
0.0000 0.0000 7.1875
```


# 2
This record from Alexandria via LeMat-Bulk describes crystalline CrCu2Os at its relaxed geometry. The functional is PBE. Values from VASP.

## Properties
SG: Pmm2 (25)
ΔE_f, kJ/mol of atoms: 20.3

Geometry as Quantum ESPRESSO input:
```
&SYSTEM
  ibrav = 0, nat = 4, ntyp = 3
/
ATOMIC_SPECIES
Cr 52.00 Cr.upf
Cu 63.55 Cu.upf
Os 190.23 Os.upf
ATOMIC_POSITIONS crystal
Cr 0.0000 0.0000 0.0000
Cu 0.0000 0.0000 0.4992
Cu 0.5000 0.5000 0.2796
Os 0.5000 0.5000 0.7824
CELL_PARAMETERS angstrom
2.7532 0.0000 0.0000
0.0000 3.5369 0.0000
0.0000 0.0000 5.3043
```


Question: Look up the ΔE_f of the first one.
Answer: 24.6 kJ/mol of atoms


Question: The lowest ΔE_f belongs to which entry?
Answer: number 2


Question: What is the ΔE_f in the first record?
Answer: 24.6 kJ/mol of atoms